1.
TaZn2As, optimized geometry, DFT PBE-GGA; ΔE_f = 35 meV per atom; VASP energy = -4.727 eV/atom
1.0
2.7402 0.0000 0.0000
0.0000 4.5449 0.0000
-0.0036 0.0000 5.2412
Ta Zn As
1 2 1
direct
0.0000 0.0000 0.0000 Ta
0.4958 0.5000 0.7368 Zn
0.5042 0.0000 0.5077 Zn
0.4938 0.5000 0.2188 As

---

2.
Ho3Tm2Tl, optimized geometry, DFT PBE-GGA; ΔE_f = -63 meV per atom; VASP energy = -4.237 eV/atom; distance to the lowest polymorph of the same formula = 47.1 meV per atom
1.0
8.5373 -3.4384 0.0000
8.5373 3.4384 0.0000
-1.3806 0.0000 6.0495
Ho Tm Tl
6 4 2
direct
0.0463 0.2925 0.0251 Ho
0.1292 0.8708 0.7500 Ho
0.2925 0.0463 0.5251 Ho
0.7075 0.9537 0.4749 Ho
0.8708 0.1292 0.2500 Ho
0.9537 0.7075 0.9749 Ho
0.2181 0.4573 0.4588 Tm
0.4573 0.2181 0.9588 Tm
0.5427 0.7819 0.0412 Tm
0.7819 0.5427 0.5412 Tm
0.3626 0.6374 0.2500 Tl
0.6374 0.3626 0.7500 Tl

---

3.
La3Tl2Cd9, optimized geometry, DFT PBE-GGA; ΔE_f = -265 meV per atom; VASP energy = -2.247 eV/atom
1.0
-2.4885 5.1953 7.1606
2.4885 -5.1953 7.1606
2.4885 5.1953 -7.1606
La Tl Cd
3 2 9
direct
0.0000 0.0000 0.0000 La
0.2976 0.2976 0.0000 La
0.7024 0.7024 0.0000 La
0.3157 0.5000 0.8157 Tl
0.6843 0.5000 0.1843 Tl
0.0244 0.6574 0.3670 Cd
0.1308 0.8532 0.2776 Cd
0.2904 0.6574 0.6330 Cd
0.4244 0.1468 0.2776 Cd
0.5000 0.0000 0.5000 Cd
0.5756 0.8532 0.7224 Cd
0.7096 0.3426 0.3670 Cd
0.8692 0.1468 0.7224 Cd
0.9756 0.3426 0.6330 Cd

---

Calculated D(E_F) (states/eV per cell), listed in the same order as above: 1.42, 15.85, 9.43